(1)
MgNb3Se | PBE | relaxed

```
MgNb3Se
1.0
-3.465 2.355 -2.329
-3.125 -1.208 3.428
1.097 3.996 2.409
Nb Mg Se
3 1 1
Cartesian
-1.562 -0.604 1.714 Nb
-1.733 1.178 -1.164 Nb
0.549 1.998 1.204 Nb
-2.746 2.572 1.754 Mg
0.000 0.000 0.000 Se
```

Computed properties:
SG: Pm-3m, No. 221
ΔE_f (raw): 0.555 eV per atom
Energy above the most stable polymorph in this dataset: 0 meV per atom

(2)
Mg2NbSe2 | PBE | relaxed

```
Mg2NbSe2
1.0
7.499 0.000 0.000
0.000 7.499 0.000
0.000 0.000 3.448
Mg Se Nb
4 4 2
Cartesian
1.018 2.731 0.000 Mg
4.768 1.018 0.000 Mg
6.480 4.768 0.000 Mg
2.731 6.480 0.000 Mg
1.297 5.046 1.724 Se
5.046 6.202 1.724 Se
6.202 2.452 1.724 Se
2.452 1.297 1.724 Se
0.000 0.000 0.000 Nb
3.749 3.749 0.000 Nb
```

Computed properties:
SG: P4/mbm, No. 127
ΔE_f (raw): -0.044 eV per atom

(3)
Mg2NbSe | PBE | relaxed

```
Mg2NbSe
1.0
7.867 0.000 0.000
0.000 7.867 0.000
3.934 3.934 2.661
Mg Se Nb
4 2 2
Cartesian
5.579 1.967 0.665 Mg
9.834 9.512 1.995 Mg
2.288 5.900 0.665 Mg
5.900 6.222 1.995 Mg
3.934 3.934 0.000 Se
3.934 7.867 1.330 Se
7.867 3.934 1.330 Nb
0.000 0.000 0.000 Nb
```

Computed properties:
SG: I-42d, No. 122
ΔE_f (raw): 0.145 eV per atom

(4)
MgNb3Se | PBE | relaxed

```
MgNb3Se
1.0
-1.158 -2.452 3.959
4.548 0.282 1.505
-1.002 4.116 2.256
Nb Se Mg
3 1 1
Cartesian
-0.579 -1.226 1.980 Nb
-0.501 2.058 1.128 Nb
2.274 0.141 0.753 Nb
1.194 0.973 3.860 Se
0.000 0.000 0.000 Mg
```

Computed properties:
SG: Pm-3m, No. 221
ΔE_f (raw): 1.681 eV per atom
Energy above the most stable polymorph in this dataset: 1126 meV per atom

(5)
MgTa2NbSe | PBE | relaxed

```
MgTa2NbSe
1.0
-2.077 0.084 4.403
3.973 -2.895 1.929
2.445 4.071 1.075
Ta Mg Nb Se
2 1 1 1
Cartesian
-1.038 0.042 2.202 Ta
1.222 2.036 0.538 Ta
1.987 -1.448 0.965 Mg
0.000 0.000 0.000 Nb
2.171 0.630 3.704 Se
```

Computed properties:
SG: P4/mmm, No. 123
ΔE_f (raw): 1.414 eV per atom

(6)
MgNb2WSe | PBE | relaxed

```
MgNb2WSe
1.0
-4.538 -0.813 1.348
0.734 -4.572 -0.288
1.379 -0.069 4.600
Se Mg Nb W
1 1 2 1
Cartesian
-1.213 -2.727 2.830 Se
0.000 0.000 0.000 Mg
-2.269 -0.407 0.674 Nb
0.689 -0.034 2.300 Nb
0.367 -2.286 -0.144 W
```

Computed properties:
SG: P4/mmm, No. 123
ΔE_f (raw): 2.010 eV per atom

(7)
MgNb3Si | PBE | relaxed

```
MgNb3Si
1.0
-4.685 0.357 0.510
-0.452 -4.613 -0.923
0.428 -0.964 4.607
Nb Si Mg
3 1 1
Cartesian
-2.343 0.178 0.255 Nb
0.214 -0.482 2.304 Nb
-0.226 -2.307 -0.462 Nb
0.000 0.000 0.000 Si
-2.354 -2.610 2.097 Mg
```

Computed properties:
SG: Pm-3m, No. 221
ΔE_f (raw): 0.559 eV per atom
Energy above the most stable polymorph in this dataset: 0 meV per atom

(8)
Mg14NbSi | PBE | relaxed

```
Mg14NbSi
1.0
0.290 6.126 -1.397
-1.381 -4.187 -4.487
-9.671 0.936 2.102
Mg Si Nb
14 1 1
Cartesian
-7.672 0.348 -0.064 Mg
-5.385 1.413 -1.898 Mg
-2.784 -0.125 -1.126 Mg
-0.544 0.981 -2.938 Mg
-8.395 -1.845 -2.414 Mg
-0.400 4.024 -3.632 Mg
-6.065 -0.650 -4.109 Mg
-3.355 0.891 -4.208 Mg
-2.715 2.925 -1.895 Mg
-5.528 -1.606 -1.210 Mg
-7.491 3.388 -0.857 Mg
-3.507 -2.318 -3.476 Mg
0.142 3.061 -0.710 Mg
-8.244 1.364 -3.145 Mg
0.000 0.000 0.000 Si
-4.836 0.468 1.051 Nb
```

Computed properties:
SG: P-6m2, No. 187
ΔE_f (raw): 0.067 eV per atom

(9)
Mg14NbSi | PBE | relaxed

```
Mg14NbSi
1.0
-6.185 0.818 -0.369
2.545 -4.095 3.977
0.537 7.282 7.153
Mg Nb Si
14 1 1
Cartesian
-1.620 -0.420 0.549 Mg
-1.593 2.519 8.354 Mg
-1.850 -0.967 4.929 Mg
-1.362 3.234 4.113 Mg
-0.361 -2.460 2.531 Mg
-3.440 -2.058 2.353 Mg
0.214 4.146 6.563 Mg
-3.192 1.587 5.927 Mg
-2.901 4.629 6.404 Mg
-0.043 0.660 3.138 Mg
1.447 2.190 8.577 Mg
-3.165 1.043 2.883 Mg
1.182 -1.411 5.039 Mg
-4.722 -0.006 0.360 Mg
-0.070 1.169 6.118 Nb
-4.425 3.619 3.951 Si
```

Computed properties:
SG: Amm2, No. 38
ΔE_f (raw): 0.068 eV per atom

(10)
MgNb3Si | PBE | relaxed

```
MgNb3Si
1.0
-1.307 1.244 4.327
1.556 -4.103 1.649
4.224 1.896 0.731
Nb Mg Si
3 1 1
Cartesian
-0.653 0.622 2.163 Nb
2.112 0.948 0.365 Nb
0.778 -2.051 0.825 Nb
0.000 0.000 0.000 Mg
2.237 -0.482 3.353 Si
```

Computed properties:
SG: Pm-3m, No. 221
ΔE_f (raw): 1.676 eV per atom
Energy above the most stable polymorph in this dataset: 1117 meV per atom

(11)
MgNb2Si | PBE | relaxed

```
MgNb2Si
1.0
-4.216 -5.657 -1.773
5.167 -2.440 -4.503
1.583 -5.523 -1.068
Mg Nb Si
2 4 2
Cartesian
3.613 -6.006 -4.355 Mg
0.475 -4.049 -3.138 Mg
3.212 -3.459 -3.255 Nb
1.404 -7.112 -3.033 Nb
2.159 -11.293 -6.415 Nb
-1.708 -5.375 -1.986 Nb
0.000 0.000 0.000 Si
-1.079 -7.614 -2.990 Si
```

Computed properties:
SG: I-42d, No. 122
ΔE_f (raw): 0.202 eV per atom

(12)
Mg2NbSi2 | PBE | relaxed

```
Mg2NbSi2
1.0
-3.581 -3.221 4.778
0.956 -5.880 -3.247
3.248 -0.595 2.033
Mg Si Nb
4 4 2
Cartesian
-0.009 -7.320 1.571 Mg
0.632 -2.376 1.993 Mg
1.640 -4.839 -0.338 Mg
-1.017 -4.857 3.902 Mg
-2.521 -6.502 2.125 Si
-0.498 -6.323 -1.055 Si
-2.127 -2.778 2.585 Si
-0.104 -2.599 -0.594 Si
0.000 0.000 0.000 Nb
-1.313 -4.550 0.765 Nb
```

Computed properties:
SG: P4/mbm, No. 127
ΔE_f (raw): -0.055 eV per atom

Number 1: energy -6.50 eV/atom, V 110.1 Å³/cell, N(E_F) 1.461 states/eV per atom. Number 2: energy -4.09 eV/atom, V 193.9 Å³/cell, N(E_F) 0.751 states/eV per atom. Number 3: energy -4.04 eV/atom, V 164.7 Å³/cell, N(E_F) 0.895 states/eV per atom. Number 4: energy -5.38 eV/atom, V 110.5 Å³/cell, N(E_F) 1.859 states/eV per atom. Number 5: energy -6.36 eV/atom, V 125.2 Å³/cell, N(E_F) 1.013 states/eV per atom. Number 6: energy -5.62 eV/atom, V 107.0 Å³/cell, N(E_F) 1.980 states/eV per atom. Number 7: energy -6.89 eV/atom, V 105.6 Å³/cell, N(E_F) 1.725 states/eV per atom. Number 8: energy -2.30 eV/atom, V 340.6 Å³/cell, N(E_F) 0.431 states/eV per atom. Number 9: energy -2.30 eV/atom, V 339.5 Å³/cell, N(E_F) 0.500 states/eV per atom. Number 10: energy -5.77 eV/atom, V 103.0 Å³/cell, N(E_F) 1.195 states/eV per atom. Number 11: energy -6.59 eV/atom, V 146.7 Å³/cell, N(E_F) 0.082 states/eV per atom. Number 12: energy -4.88 eV/atom, V 178.5 Å³/cell, N(E_F) 0.716 states/eV per atom.